A geometry-optimized Ba2MgCo2CuF14 structure, computed with PBE+U.

Results
**Spin magnetization**: 1.00 μB per formula unit
**Energy**: -4.9612 eV per atom

Cell lengths 14.0172, 5.2055, 14.4231 Å; angles 90.00, 91.97, 90.00 degrees
Space group C2/c (No. 15)
Symmetry-distinct sites (fractional):
1 Ba 0.1866 0.0700 0.1219 [8 per cell]
2 Mg 0.0000 0.4373 0.7500 [4 per cell]
3 Co 0.1186 0.0116 0.3726 [8 per cell]
4 Cu 0.0000 0.5000 0.0000 [4 per cell]
5 F 0.0032 0.1001 0.6597 [8 per cell]
6 F 0.0545 0.4492 0.1226 [8 per cell]
7 F 0.0813 0.1984 0.4781 [8 per cell]
8 F 0.1087 0.2955 0.2913 [8 per cell]
9 F 0.1358 0.2710 0.9518 [8 per cell]
10 F 0.1603 0.2002 0.7767 [8 per cell]
11 F 0.2445 0.0932 0.4030 [8 per cell]